Entry a
This record from Alexandria via LeMat-Bulk describes crystalline Tc2NiRu at its relaxed geometry. The functional is PBE-GGA.

Computed properties:
- size of the total moment (μB/atom) = 0.00

Unit cell a=2.7057 b=4.2606 c=4.6878 alpha=90.00 beta=90.00 gamma=90.00
Space group Pmm2 (No. 25)
Symmetry-distinct sites (fractional):
Tc  0.0000  0.0000  0.0000
Tc  0.0000  0.5000  0.3357
Ni  0.5000  0.5000  0.8434
Ru  0.5000  0.0000  0.5165

***

Entry b
This record from Alexandria via LeMat-Bulk describes crystalline Tc2NiRu at its relaxed geometry. The functional is PBE-GGA.

Computed properties:
- size of the total moment (μB/atom) = 0.00

Unit cell a=2.6755 b=2.6755 c=7.5692 alpha=90.00 beta=90.00 gamma=90.00
Space group P4/mmm (No. 123)
Symmetry-distinct sites (fractional):
Tc  0.0000  0.0000  0.2424
Ni  0.5000  0.5000  0.0000
Ru  0.5000  0.5000  0.5000

***

The structure with the greatest stability is entry a.

***

Entry a
This record from Alexandria via LeMat-Bulk describes crystalline LaZr2Tl at its relaxed geometry. The functional is PBE-GGA.

Computed properties:
- size of the total moment (μB/atom) = 0.00

Unit cell a=4.6492 b=4.6492 c=9.4910 alpha=90.00 beta=90.00 gamma=90.00
Space group I4/mmm (No. 139)
Symmetry-distinct sites (fractional):
La  0.0000  0.0000  0.0000
Zr  0.0000  0.5000  0.2500
Tl  0.0000  0.0000  0.5000

***

Entry b
This record from Alexandria via LeMat-Bulk describes crystalline LaZr2Tl at its relaxed geometry. The functional is PBE-GGA.

Computed properties:
- size of the total moment (μB/atom) = 0.00

Unit cell a=4.6221 b=4.6221 c=9.5585 alpha=90.00 beta=90.00 gamma=90.00
Space group I-4m2 (No. 119)
Symmetry-distinct sites (fractional):
La  0.0000  0.0000  0.0000
Zr  0.0000  0.0000  0.5000
Zr  0.0000  0.5000  0.7500
Tl  0.0000  0.5000  0.2500

***

The structure with the greatest stability is entry b.

***

Entry a
This record from Alexandria via LeMat-Bulk describes crystalline PWAu2 at its relaxed geometry. The functional is PBE-GGA.

Computed properties:
- size of the total moment (μB/atom) = 0.00

Unit cell a=3.2684 b=4.5757 c=9.4752 alpha=90.00 beta=90.00 gamma=90.00
Space group Cmm2 (No. 35)
Symmetry-distinct sites (fractional):
P  0.0000  0.0000  0.0000
W  0.0000  0.5000  0.1895
Au  0.0000  0.0000  0.4389
Au  0.0000  0.5000  0.6955

***

Entry b
This record from Alexandria via LeMat-Bulk describes crystalline PWAu2 at its relaxed geometry. The functional is PBE-GGA.

Computed properties:
- size of the total moment (μB/atom) = 0.00

Unit cell a=3.0326 b=3.8754 c=11.7636 alpha=90.00 beta=90.00 gamma=90.00
Space group Immm (No. 71)
Symmetry-distinct sites (fractional):
P  0.0000  0.0000  0.0000
W  0.0000  0.0000  0.5000
Au  0.0000  0.5000  0.3114

***

The structure with the greatest stability is entry a.

***

Entry a
This record from Alexandria via LeMat-Bulk describes crystalline Cd2NiMo at its relaxed geometry. The functional is PBE-GGA.

Computed properties:
- size of the total moment (μB/atom) = 0.16

Unit cell a=5.6814 b=8.7821 c=2.7221 alpha=90.00 beta=91.29 gamma=90.00
Space group C2/m (No. 12)
Symmetry-distinct sites (fractional):
Cd  0.2500  0.2500  0.0000
Ni  0.0000  0.0000  0.5000
Mo  0.0000  0.5000  0.5000

***

Entry b
This record from Alexandria via LeMat-Bulk describes crystalline Cd2NiMo at its relaxed geometry. The functional is PBE-GGA.

Computed properties:
- size of the total moment (μB/atom) = 0.00

Unit cell a=2.8359 b=2.8359 c=8.2319 alpha=90.00 beta=90.00 gamma=90.00
Space group P4/mmm (No. 123)
Symmetry-distinct sites (fractional):
Cd  0.0000  0.0000  0.2270
Ni  0.5000  0.5000  0.0000
Mo  0.5000  0.5000  0.5000

***

The structure with the greatest stability is entry b.

***

Entry a
This record from Alexandria via LeMat-Bulk describes crystalline FeIrAu2 at its relaxed geometry. The functional is PBE-GGA.

Computed properties:
- size of the total moment (μB/atom) = 0.67

Unit cell a=2.7988 b=2.7988 c=8.0310 alpha=90.00 beta=90.00 gamma=90.00
Space group P4/mmm (No. 123)
Symmetry-distinct sites (fractional):
Fe  0.0000  0.0000  0.0000
Ir  0.0000  0.0000  0.5000
Au  0.5000  0.5000  0.2390

***

Entry b
This record from Alexandria via LeMat-Bulk describes crystalline FeIrAu2 at its relaxed geometry. The functional is PBE-GGA.

Computed properties:
- size of the total moment (μB/atom) = 0.95

Unit cell a=3.0169 b=4.6553 c=9.1433 alpha=90.00 beta=90.00 gamma=90.00
Space group Imm2 (No. 44)
Symmetry-distinct sites (fractional):
Fe  0.0000  0.0000  0.0000
Ir  0.0000  0.5000  0.7155
Au  0.0000  0.0000  0.4826
Au  0.0000  0.5000  0.2528

***

The structure with the greatest stability is entry b.